4
Lattice="-1.591 2.905 -1.474 -1.174 -2.281 -3.228 -5.225 -2.380 0.948" Properties=species:S:1:pos:R:3 comment="CaScFe2, optimized geometry, DFT PBE" ef_ev_per_atom=0.200 spacegroup="No. 38" crystal_system=orthorhombic dos_at_fermi_per_ev_cell=3.64 pbc="T T T"
Sc -2.532 -2.029 -1.266
Fe -2.297 0.682 -0.634
Fe -0.359 -0.465 -0.530
Ca -6.002 -2.275 -2.464